# 1
Below is Mg4ScIn at its PBEsol-relaxed geometry, with properties calculated at the SCAN level.

Calculated values
Space group: No. 216
Magnetic moment, μB/cell: 0.0
Energy of formation, eV per atom: 0.03
Total energy, hartree per atom: -0.4126

Cell: 5.7933 5.7933 5.7933 Å, 60.00 60.00 60.00°
Fractional coordinates of all 6 atoms:
1 In 0.0000 0.0000 0.0000
2 Mg 0.3755 0.3755 0.3755
3 Mg 0.3755 0.3755 0.8735
4 Mg 0.8735 0.3755 0.3755
5 Mg 0.3755 0.8735 0.3755
6 Sc 0.7500 0.7500 0.7500



# 2
Below is SrFe2Br at its PBEsol-relaxed geometry, with properties calculated at the SCAN level.

Calculated values
Formation energy without anion corrections, eV/atom: 0.23
Space group: No. 12
Magnetic moment, μB/cell: 6.1
Total energy, hartree per atom: -0.7080

Cell: 3.4626 4.3897 6.3454 Å, 110.12 105.69 90.41°
Fractional coordinates of all 4 atoms:
1 Br 0.0000 0.5000 0.0000
2 Fe 0.0000 0.0000 0.5000
3 Fe 0.5000 0.5000 0.5000
4 Sr 0.5000 0.0000 0.0000



# 3
Below is SrTcAu2 at its PBEsol-relaxed geometry, with properties calculated at the SCAN level.

Calculated values
Space group: No. 119
Magnetic moment, μB/cell: 3.0
Energy of formation, eV per atom: 0.16
Total energy, hartree per atom: -1.7916

Cell: 4.1981 4.1981 5.3867 Å, 112.93 112.93 90.00°
Fractional coordinates of all 4 atoms:
1 Au 0.0000 0.0000 0.0000
2 Au 0.7500 0.2500 0.5000
3 Sr 0.5000 0.5000 0.0000
4 Tc 0.2500 0.7500 0.5000